Entry 1:
Entry from Alexandria via LeMat-Bulk: a relaxed structure of BC2 (PBE-GGA).

E_form: 0.3055 eV/atom
Excess energy over the best structure of this formula in the dataset: 6.3 kJ/mol of atoms
Space-group type: P-4m2 (115)

abc: 2.5428 2.5428 11.9397
angles: 90.00 90.00 90.00
Closest atoms and distances in Å follow each position.
Positions (direct):
C1 0.5000 0.5000 0.4740  2 C 1.54, 2 B 1.61
C2 0.0000 0.0000 0.3246  4 C 1.55-1.56
C3 0.5000 0.0000 0.2500  4 C 1.55
C4 0.0000 0.5000 0.4008  4 C 1.54-1.56
C5 0.5000 0.5000 0.1754  4 C 1.55-1.56
C6 0.0000 0.5000 0.7500  4 B 1.56
C7 0.0000 0.5000 0.0992  4 C 1.54-1.56
C8 0.0000 0.0000 0.0260  2 C 1.54, 2 B 1.61
B1 0.5000 0.0000 0.5567  2 C 1.61
B2 0.0000 0.0000 0.6739  2 C 1.56
B3 0.5000 0.5000 0.8261  2 C 1.56
B4 0.5000 0.0000 0.9433  2 C 1.61

Entry 2:
Entry from Alexandria via LeMat-Bulk: a relaxed structure of RbTiBr2 (PBE-GGA).

Excess energy over the best structure of this formula in the dataset: 0.0 kJ/mol of atoms
Space-group type: R-3m (166)
ΔE_f (raw): -707 meV/atom

abc: 10.0740 10.0740 10.0740
angles: 23.69 23.69 23.69
Closest atoms and distances in Å follow each position.
Positions (direct):
Br1 0.1181 0.1181 0.1181  3 Ti 2.78
Br2 0.8819 0.8819 0.8819  3 Ti 2.78
Rb1 0.0000 0.0000 0.0000  2 Br 3.47
Ti1 0.5000 0.5000 0.5000  6 Br 2.78

Entry 3:
Entry from Alexandria via LeMat-Bulk: a relaxed structure of AlB3Au (PBE-GGA).

E_form: 1.8148 eV/atom
Excess energy over the best structure of this formula in the dataset: 6.2 kJ/mol of atoms
Space-group type: Pm-3m (221)

abc: 4.1699 4.1699 4.1699
angles: 90.00 90.00 90.00
Closest atoms and distances in Å follow each position.
Positions (direct):
B1 0.5000 0.0000 0.0000  2 Al 2.08
B2 0.0000 0.0000 0.5000  2 Al 2.08
B3 0.0000 0.5000 0.0000  2 Al 2.08
Al1 0.0000 0.0000 0.0000  6 B 2.08
Au1 0.5000 0.5000 0.5000  12 B 2.95

Entry 4:
Entry from Alexandria via LeMat-Bulk: a relaxed structure of MgSc5Ag6 (PBE-GGA).

E_form: -0.2665 eV/atom
Space-group type: C2/m (12)

abc: 4.8300 8.3809 8.3809
angles: 120.08 106.75 106.75
Closest atoms and distances in Å follow each position.
Positions (direct):
Sc1 0.0000 0.6679 0.3321  8 Ag 2.95-2.97
Sc2 0.0000 0.3321 0.6679  8 Ag 2.95-2.97
Sc3 0.5000 0.1664 0.8336  8 Ag 2.95-2.97
Sc4 0.5000 0.8336 0.1664  8 Ag 2.95-2.97
Sc5 0.5000 0.5000 0.5000  8 Ag 2.95-2.96
Ag1 0.7478 0.9145 0.5807  7 Sc 2.95-2.97, 1 Mg 2.98
Ag2 0.2522 0.0855 0.4193  7 Sc 2.95-2.97, 1 Mg 2.98
Ag3 0.7478 0.5807 0.9145  7 Sc 2.95-2.97, 1 Mg 2.98
Ag4 0.2474 0.7485 0.7485  6 Sc 2.95-2.97, 2 Mg 2.96-2.97
Ag5 0.2522 0.4193 0.0855  7 Sc 2.95-2.97, 1 Mg 2.98
Ag6 0.7526 0.2515 0.2515  6 Sc 2.95-2.97, 2 Mg 2.96-2.97
Mg1 0.0000 0.0000 0.0000  8 Ag 2.96-2.98

| no. | V (Å³ per atom) |
| --- | --- |
| 1 | 6.4 |
| 2 | 36.2 |
| 3 | 14.5 |
| 4 | 20.0 |